[1]
## TaCuAg2 (PBE-GGA)

Data for a geometry-optimized TaCuAg2 structure.

Cell and atoms, written as CIF:
```
data_TaCuAg2
_cell_length_a 4.956
_cell_length_b 4.956
_cell_length_c 2.775
_cell_angle_alpha 90.00
_cell_angle_beta 90.00
_cell_angle_gamma 90.00
_symmetry_space_group_name_H-M 'P 4/m m m'
_symmetry_Int_Tables_number 123
_symmetry_space_group_name_Hall '-P 4 2'
loop_
_atom_site_label
_atom_site_fract_x
_atom_site_fract_y
_atom_site_fract_z
_atom_site_occupancy
Ta1 0.000 0.000 0.000 1
Cu1 0.500 0.500 0.000 1
Ag1 0.000 0.500 0.500 1
```

Properties
energy: -19.76 eV per cell

***

[2]
## NbInOsRu (PBE-GGA)

Data for a geometry-optimized NbInOsRu structure.

Cell and atoms, written as CIF:
```
data_NbInOsRu
_cell_length_a 6.404
_cell_length_b 6.404
_cell_length_c 6.404
_cell_angle_alpha 90.00
_cell_angle_beta 90.00
_cell_angle_gamma 90.00
_symmetry_space_group_name_H-M 'F -4 3 m'
_symmetry_Int_Tables_number 216
_symmetry_space_group_name_Hall 'F -4 2 3'
loop_
_atom_site_label
_atom_site_fract_x
_atom_site_fract_y
_atom_site_fract_z
_atom_site_occupancy
Nb1 0.000 0.000 0.000 1
In1 0.000 0.000 0.500 1
Os1 0.250 0.250 0.250 1
Ru1 0.250 0.250 0.750 1
```

Properties
energy: -135.04 eV per cell

***

[3]
## KNi2Pb (PBE-GGA)

Data for a geometry-optimized KNi2Pb structure.

Cell and atoms, written as CIF:
```
data_KNi2Pb
_cell_length_a 7.775
_cell_length_b 7.775
_cell_length_c 6.630
_cell_angle_alpha 90.00
_cell_angle_beta 90.00
_cell_angle_gamma 90.00
_symmetry_space_group_name_H-M 'I -4 2 d'
_symmetry_Int_Tables_number 122
_symmetry_space_group_name_Hall 'I -4 2bw'
loop_
_atom_site_label
_atom_site_fract_x
_atom_site_fract_y
_atom_site_fract_z
_atom_site_occupancy
K1 0.000 0.000 0.000 1
Ni1 0.183 0.250 0.625 1
Pb1 0.000 0.000 0.500 1
```

Properties
energy: -53.89 eV per cell

***

[4]
## Pr5TmAl6 (PBE-GGA)

Data for a geometry-optimized Pr5TmAl6 structure.

Cell and atoms, written as CIF:
```
data_Pr5TmAl6
_cell_length_a 5.284
_cell_length_b 7.404
_cell_length_c 15.827
_cell_angle_alpha 90.00
_cell_angle_beta 90.00
_cell_angle_gamma 90.00
_symmetry_space_group_name_H-M 'I m m m'
_symmetry_Int_Tables_number 71
_symmetry_space_group_name_Hall '-I 2 2'
loop_
_atom_site_label
_atom_site_fract_x
_atom_site_fract_y
_atom_site_fract_z
_atom_site_occupancy
Pr1 0.000 0.000 0.000 1
Pr2 0.000 0.000 0.324 1
Pr3 0.000 0.500 0.338 1
Tm1 0.000 0.500 0.000 1
Al1 0.000 0.224 0.500 1
Al2 0.000 0.264 0.161 1
```

Properties
energy: -109.88 eV per cell

***

[5]
## MgTeO3 (PBE-GGA)

Data for a geometry-optimized MgTeO3 structure.

Cell and atoms, written as CIF:
```
data_MgTeO3
_cell_length_a 5.499
_cell_length_b 4.009
_cell_length_c 7.347
_cell_angle_alpha 90.00
_cell_angle_beta 102.07
_cell_angle_gamma 90.00
_symmetry_space_group_name_H-M 'P 1 21/m 1'
_symmetry_Int_Tables_number 11
loop_
_symmetry_equiv_pos_as_xyz
'x,y,z'
'-x,-y,-z'
'-x,y+1/2,-z'
'x,-y+1/2,z'
loop_
_atom_site_label
_atom_site_fract_x
_atom_site_fract_y
_atom_site_fract_z
_atom_site_occupancy
Mg1 0.181 0.250 0.414 1
Te1 0.211 0.250 0.831 1
O1 0.071 0.750 0.379 1
O2 0.098 0.750 0.828 1
O3 0.428 0.250 0.663 1
```

Properties
energy: -55.34 eV per cell
raw formation energy: -1612 meV per atom

***

[6]
## K4Nd3HfO8 (PBE-GGA)

Data for a geometry-optimized K4Nd3HfO8 structure.

Cell and atoms, written as CIF:
```
data_K4Nd3HfO8
_cell_length_a 7.0807
_cell_length_b 7.0807
_cell_length_c 18.9510
_cell_angle_alpha 90.00
_cell_angle_beta 90.00
_cell_angle_gamma 120.00
_symmetry_space_group_name_H-M 'R -3 m'
_symmetry_Int_Tables_number 166
_symmetry_space_group_name_Hall '-R 3 2"'
loop_
_atom_site_label
_atom_site_fract_x
_atom_site_fract_y
_atom_site_fract_z
_atom_site_occupancy
K1 0.0000 0.0000 0.0000 1
K2 0.0000 0.5000 0.0000 1
Nd1 0.0000 0.5000 0.5000 1
Hf1 0.0000 0.0000 0.5000 1
O1 0.0000 0.0000 0.2351 1
O2 0.0369 0.5184 0.2278 1
```

Properties
energy: -327.60 eV per cell
raw formation energy: -2556 meV per atom